Record 1
VASP calculation (PBE) on a geometry-optimized NbCl3O structure.

Computed properties:
ΔE_f (raw)   -153 kJ/mol of atoms

abc: 5.7996 8.1221 14.9861
angles: 90.00 101.70 90.00
Fractional coordinates of all 20 atoms:
Nb 0.1449 0.2456 0.3496
Nb 0.1449 0.7544 0.8496
Nb 0.8551 0.2456 0.1504
Nb 0.8551 0.7544 0.6504
Cl 0.1118 0.2483 0.5006
Cl 0.1118 0.7517 0.0006
Cl 0.3276 0.0070 0.8554
Cl 0.3276 0.9930 0.3554
Cl 0.3302 0.4976 0.3545
Cl 0.3302 0.5024 0.8545
Cl 0.6698 0.4976 0.1455
Cl 0.6698 0.5024 0.6455
Cl 0.6724 0.0070 0.6446
Cl 0.6724 0.9930 0.1446
Cl 0.8882 0.2483 0.9994
Cl 0.8882 0.7517 0.4994
O 0.1647 0.2455 0.2052
O 0.1647 0.7545 0.7052
O 0.8353 0.2455 0.2948
O 0.8353 0.7545 0.7948



Record 2
VASP calculation (PBE) on a geometry-optimized ScCo4Ru structure.

Computed properties:
Energy relative to the elements   -0.13 eV/atom

abc: 4.7858 4.7858 4.7858
angles: 60.00 60.00 60.00
Fractional coordinates of all 6 atoms:
Sc 0.0000 0.0000 0.0000
Co 0.3746 0.3746 0.3746
Co 0.3746 0.3746 0.8761
Co 0.3746 0.8761 0.3746
Co 0.8761 0.3746 0.3746
Ru 0.7500 0.7500 0.7500



Record 3
VASP calculation (PBE) on a geometry-optimized Sm6Te5Pb structure.

Computed properties:
ΔE_f (raw)   -123 kJ/mol of atoms

abc: 7.7122 7.7122 7.7566
angles: 99.51 99.51 119.92
Fractional coordinates of all 12 atoms:
Sm 0.0819 0.4116 0.7471
Sm 0.2467 0.2467 0.2524
Sm 0.4116 0.0819 0.7471
Sm 0.5884 0.9181 0.2529
Sm 0.7533 0.7533 0.7476
Sm 0.9181 0.5884 0.2529
Te 0.1678 0.8322 0.0000
Te 0.3334 0.6666 0.5000
Te 0.5000 0.5000 0.0000
Te 0.6666 0.3334 0.5000
Te 0.8322 0.1678 0.0000
Pb 0.0000 0.0000 0.5000



Record 4
VASP calculation (PBE) on a geometry-optimized PaSb3 structure.

Computed properties:
ΔE_f (raw)   -33 kJ/mol of atoms
Energy relative to the lowest polymorph listed for this composition   0.0000 eV per atom

abc: 6.1450 6.1450 6.1450
angles: 137.71 137.71 61.35
Fractional coordinates of all 4 atoms:
Pa 0.0000 0.0000 0.0000
Sb 0.2500 0.7500 0.5000
Sb 0.5000 0.5000 0.0000
Sb 0.7500 0.2500 0.5000



Number 1: size of the total moment 0.0 μB per cell, E_tot -5.695 eV per atom. Number 2: size of the total moment 7.2 μB per cell, E_tot -7.470 eV per atom. Number 3: size of the total moment 0.0 μB per cell, E_tot -5.255 eV per atom. Number 4: size of the total moment 0.0 μB per cell, E_tot -5.806 eV per atom.